## Sr2P2O7 (PBEsol)

Data for a geometry-optimized Sr2P2O7 structure.

Mass density (Mg/m³): 3.684
Spin magnetization (μB per cell): 0.00
Raw total energy (eV per atom): -7.55

Unit cell a=8.8990 b=5.3733 c=13.1663 alpha=90.00 beta=90.00 gamma=90.00
Space group Pnma (No. 62)
One atom of each set of equivalent atoms:
Sr  0.1247  0.2500  0.0865 x4
Sr  0.1720  0.2500  0.7601 x4
P  0.0322  0.2500  0.3165 x4
P  0.2231  0.7500  0.9644 x4
O  0.0842  0.0147  0.2611 x8
O  0.1037  0.2500  0.4298 x4
O  0.1366  0.7500  0.6681 x4
O  0.1451  0.5161  0.9229 x8
O  0.2253  0.7500  0.0800 x4